DFT (GGA-PBE) results for crystalline MgNpRe4 at its relaxed geometry.

abc: 5.3379 5.3379 5.3379
angles: 60.00 60.00 60.00
With the nearest neighbours (Å) after each atom.
Positions (direct):
Re: 0.6256 0.6256 0.6256  6 Re 2.66-2.68
Mg: 0.0000 0.0000 0.0000  12 Re 3.13, 4 Np 3.27
Np: 0.2500 0.2500 0.2500  12 Re 3.13, 4 Mg 3.27
Re: 0.6256 0.1233 0.6256  6 Re 2.66-2.68
Re: 0.1233 0.6256 0.6256  6 Re 2.66-2.68
Re: 0.6256 0.6256 0.1233  6 Re 2.66-2.68

Results
- size of the total moment (μB per cell) = 4.597
- energy of formation from the pure elements (eV/atom) = 0.22
- space-group type = F-43m, No. 216

---

DFT (GGA-PBE) results for crystalline Ca8NiHg2 at its relaxed geometry.

abc: 4.4060 7.8096 11.2200
angles: 88.99 101.32 90.00
With the nearest neighbours (Å) after each atom.
Positions (direct):
Ca: 0.3744 0.0120 0.7488  1 Ni 2.76
Ca: 0.0059 0.7744 0.0118  2 Ni 2.82
Ca: 0.9941 0.2256 0.9882  2 Ni 2.82
Hg: 0.1650 0.7022 0.3300  7 Ca 3.15-3.43
Hg: 0.8350 0.2978 0.6700  7 Ca 3.15-3.43
Ca: 0.6256 0.9880 0.2512  1 Ni 2.76
Ni: 0.5000 0.0000 0.0000  6 Ca 2.76-2.82
Ca: 0.7698 0.7001 0.5396  3 Hg 3.19-3.43
Ca: 0.2302 0.2999 0.4604  3 Hg 3.19-3.43
Ca: 0.5998 0.4828 0.1997  2 Hg 3.15
Ca: 0.4002 0.5172 0.8003  2 Hg 3.15

Results
- size of the total moment (μB per cell) = 0.000
- energy of formation from the pure elements (eV/atom) = -0.21
- space-group type = C2/m, No. 12

---

DFT (GGA-PBE) results for crystalline Al2In2Pb at its relaxed geometry.

abc: 4.5623 4.5623 6.8902
angles: 70.67 70.67 90.00
With the nearest neighbours (Å) after each atom.
Positions (direct):
In: 0.7500 0.2500 0.5000  4 Al 2.89, 4 In 3.23
Al: 0.6044 0.6044 0.7913  1 Al 2.54
Pb: 0.0000 0.0000 0.0000  8 Al 3.47, 8 In 3.80
In: 0.2500 0.7500 0.5000  4 Al 2.89, 4 In 3.23
Al: 0.3956 0.3956 0.2087  1 Al 2.54

Results
- size of the total moment (μB per cell) = 0.000
- energy of formation from the pure elements (eV/atom) = 0.18
- space-group type = I4/mmm, No. 139

---

DFT (GGA-PBE) results for crystalline SmTh2Se6 at its relaxed geometry.

abc: 6.8227 6.8227 13.1925
angles: 90.00 90.00 90.00
With the nearest neighbours (Å) after each atom.
Positions (direct):
Se: 0.1989 0.8011 0.3331  2 Th 2.91, 1 Sm 2.92
Se: 0.6959 0.6959 0.5000  2 Th 2.91, 1 Sm 2.93
Th: 0.5000 0.5000 0.3325  6 Se 2.91
Th: 0.0000 0.0000 0.1675  6 Se 2.91
Se: 0.3041 0.3041 0.5000  2 Th 2.91, 1 Sm 2.93
Se: 0.8011 0.1989 0.3331  2 Th 2.91, 1 Sm 2.92
Se: 0.3011 0.3011 0.1669  2 Th 2.91, 1 Sm 2.92
Th: 0.0000 0.0000 0.8325  6 Se 2.91
Se: 0.1959 0.8041 0.0000  2 Th 2.91, 1 Sm 2.93
Se: 0.8011 0.1989 0.6669  2 Th 2.91, 1 Sm 2.92
Se: 0.1989 0.8011 0.6669  2 Th 2.91, 1 Sm 2.92
Sm: 0.0000 0.0000 0.5000  6 Se 2.92-2.93
Se: 0.8041 0.1959 0.0000  2 Th 2.91, 1 Sm 2.93
Se: 0.6989 0.6989 0.8331  2 Th 2.91, 1 Sm 2.92
Th: 0.5000 0.5000 0.6675  6 Se 2.91
Se: 0.3011 0.3011 0.8331  2 Th 2.91, 1 Sm 2.92
Se: 0.6989 0.6989 0.1669  2 Th 2.91, 1 Sm 2.92
Sm: 0.5000 0.5000 0.0000  6 Se 2.92-2.93

Results
- size of the total moment (μB per cell) = 0.000
- ΔE_f (raw) (eV per atom) = -1.504
- space-group type = P4_2/mnm, No. 136

---

DFT (GGA-PBE) results for crystalline BaSm2MoN4 at its relaxed geometry.

abc: 3.5621 6.5862 12.3274
angles: 90.00 90.00 105.69
With the nearest neighbours (Å) after each atom.
Positions (direct):
Mo: 0.1823 0.3646 0.2500  4 N 1.89-2.05
N: 0.0000 0.0000 0.0000  4 Sm 2.46
N: 0.7426 0.4851 0.8823  1 Mo 1.89
N: 0.2574 0.5149 0.3823  1 Mo 1.89
Mo: 0.8177 0.6354 0.7500  4 N 1.89-2.05
N: 0.2574 0.5149 0.1177  1 Mo 1.89
Sm: 0.3712 0.7423 0.5386  6 N 2.41-2.63
Ba: 0.9214 0.8427 0.2500  8 N 2.90-3.24
N: 0.0000 0.0000 0.5000  4 Sm 2.46
Sm: 0.3712 0.7423 0.9614  6 N 2.41-2.63
N: 0.3984 0.7969 0.7500  2 Mo 2.05
Sm: 0.6288 0.2577 0.4614  6 N 2.41-2.63
Sm: 0.6288 0.2577 0.0386  6 N 2.41-2.63
Ba: 0.0786 0.1573 0.7500  8 N 2.90-3.24
N: 0.7426 0.4851 0.6177  1 Mo 1.89
N: 0.6016 0.2031 0.2500  2 Mo 2.05

Results
- size of the total moment (μB per cell) = 1.631
- ΔE_f (raw) (eV per atom) = -0.990
- space-group type = Cmcm, No. 63

---

DFT (GGA-PBE) results for crystalline Y2ZrRh at its relaxed geometry.

abc: 5.9090 5.9090 5.9090
angles: 137.70 137.70 61.37
With the nearest neighbours (Å) after each atom.
Positions (direct):
Y: 0.0000 0.0000 0.0000  4 Y 3.02, 4 Zr 3.32, 4 Rh 3.32
Rh: 0.7500 0.2500 0.5000  4 Zr 3.02, 8 Y 3.32
Zr: 0.2500 0.7500 0.5000  4 Rh 3.02, 8 Y 3.32
Y: 0.5000 0.5000 0.0000  4 Y 3.02, 4 Rh 3.32, 4 Zr 3.32

Results
- size of the total moment (μB per cell) = 0.000
- energy of formation from the pure elements (eV/atom) = -0.03
- space-group type = I4/mmm, No. 139

---

DFT (GGA-PBE) results for crystalline ZnTe2Pd at its relaxed geometry.

abc: 6.1287 6.1287 7.4676
angles: 65.77 65.77 90.00
With the nearest neighbours (Å) after each atom.
Positions (direct):
Pd: 0.0000 0.0000 0.0000  4 Te 2.62
Te: 0.8750 0.8819 0.7500  2 Pd 2.62, 2 Zn 2.67
Te: 0.6319 0.1250 0.2500  2 Pd 2.62, 2 Zn 2.67
Te: 0.1181 0.6250 0.2500  2 Pd 2.62, 2 Zn 2.67
Zn: 0.5000 0.5000 0.0000  4 Te 2.67
Te: 0.3750 0.3681 0.7500  2 Pd 2.62, 2 Zn 2.67
Zn: 0.2500 0.7500 0.5000  4 Te 2.67
Pd: 0.7500 0.2500 0.5000  4 Te 2.62

Results
- size of the total moment (μB per cell) = 0.000
- ΔE_f (raw) (eV per atom) = -0.241
- space-group type = I-42d, No. 122

---

DFT (GGA-PBE) results for crystalline Cs2CaCoCl6 at its relaxed geometry.

abc: 7.3901 7.3901 7.3889
angles: 59.99 59.99 90.00
With the nearest neighbours (Å) after each atom.
Positions (direct):
Cl: 0.2369 0.2369 0.0000  1 Co 2.48, 1 Ca 2.75
Cl: 0.7631 0.7631 0.0000  1 Co 2.48, 1 Ca 2.75
Cl: 0.7633 0.7633 0.4734  1 Co 2.47, 1 Ca 2.75
Cl: 0.2367 0.2367 0.5266  1 Co 2.47, 1 Ca 2.75
Cs: 0.7500 0.2500 0.5000  12 Cl 3.70
Ca: 0.5000 0.5000 0.0000  6 Cl 2.75
Co: 0.0000 0.0000 0.0000  6 Cl 2.47-2.48
Cl: 0.2369 0.7631 0.0000  1 Co 2.48, 1 Ca 2.75
Cl: 0.7631 0.2369 0.0000  1 Co 2.48, 1 Ca 2.75
Cs: 0.2500 0.7500 0.5000  12 Cl 3.70

Results
- size of the total moment (μB per cell) = 3.000
- ΔE_f (raw) (eV per atom) = -1.673
- space-group type = Fm-3m, No. 225

---

DFT (GGA-PBE) results for crystalline CdB2As at its relaxed geometry.

abc: 4.3058 4.3058 4.3058
angles: 60.00 60.00 60.00
With the nearest neighbours (Å) after each atom.
Positions (direct):
Cd: 0.5000 0.5000 0.5000  8 B 2.64
As: 0.0000 0.0000 0.0000  8 B 2.64
B: 0.7500 0.7500 0.7500  4 Cd 2.64, 4 As 2.64
B: 0.2500 0.2500 0.2500  4 Cd 2.64, 4 As 2.64

Results
- size of the total moment (μB per cell) = 0.000
- energy of formation from the pure elements (eV/atom) = 1.56
- space-group type = Fm-3m, No. 225

---

DFT (GGA-PBE) results for crystalline NdYSb at its relaxed geometry.

abc: 4.0690 4.0690 6.0196
angles: 109.75 109.75 90.00
With the nearest neighbours (Å) after each atom.
Positions (direct):
Sb: 0.6097 0.6097 0.2194  4 Y 3.25, 5 Nd 3.36-3.56
Nd: 0.2734 0.2734 0.5467  5 Y 3.24-3.53, 5 Sb 3.36-3.56
Y: 0.9670 0.9670 0.9339  5 Nd 3.24-3.53, 4 Sb 3.25

Results
- size of the total moment (μB per cell) = 0.764
- ΔE_f (raw) (eV per atom) = -0.654
- space-group type = I4mm, No. 107